[1]
VASP calculation (PBE+U) on CsK2CrO4 after structural relaxation.

Summary:
Crystal system = tetragonal

Lattice parameters (Å, degrees): 6.4577 6.4577 7.9751 90.00 90.00 90.00
Closest atoms and distances in Å follow each position.
Space group I-42m (No. 121)
Symmetry-distinct sites (fractional):
Cs  0.0000  0.0000  0.0000 (multiplicity 2)  8 O 3.25-3.37
K  0.0000  0.5000  0.2500 (multiplicity 4)  4 O 2.64
Cr  0.0000  0.0000  0.5000 (multiplicity 2)  4 O 1.74
O  0.1595  0.1595  0.6187 (multiplicity 8)  1 Cr 1.74

=====

[2]
VASP calculation (PBE+U) on CsKCrO4 after structural relaxation.

Summary:
Crystal system = monoclinic

Lattice parameters (Å, degrees): 5.5980 6.1003 8.5728 90.00 101.84 90.00
Closest atoms and distances in Å follow each position.
Space group P2_1/m (No. 11)
Symmetry-distinct sites (fractional):
Cs  0.2020  0.2500  0.1188 (multiplicity 2)  9 O 3.22-3.37
K  0.2146  0.7500  0.5255 (multiplicity 2)  5 O 2.71-2.84
Cr  0.3811  0.2500  0.7189 (multiplicity 2)  4 O 1.66-1.68
O  0.2733  0.0256  0.7909 (multiplicity 4)  1 Cr 1.66
O  0.2967  0.2500  0.5188 (multiplicity 2)  1 Cr 1.68
O  0.3151  0.7500  0.2298 (multiplicity 2)  1 Cr 1.67

=====

Quick rundown of calculated total energy, same order as above: -5.4266; -5.8671 eV per atom